Here is a relaxed structure of CaTc from the Alexandria database. Energies are from GGA-PBE.

Computed properties:
* space-group type: Cmcm
* calculated volume: 95.5 Å³/cell
* DOS(E_F): 4.2 states/eV/cell
* energy above the lowest structure with this stoichiometry: 0.023 eV/atom
* total magnetization: 0.0 Bohr magnetons per cell
* calculated formation energy: 236 meV/atom

Lattice parameters (Å, degrees): 9.3065 9.3065 3.2389 90.00 90.00 160.10
Closest atoms and distances in Å follow each position.
Element x y z (fractional)
Ca 0.6002 0.3998 0.7500  5 Tc 3.14-3.34, 4 Ca 3.22-3.24
Ca 0.3998 0.6002 0.2500  5 Tc 3.14-3.34, 4 Ca 3.22-3.24
Tc 0.7822 0.2178 0.7500  4 Tc 2.57
Tc 0.2178 0.7822 0.2500  4 Tc 2.57